(1)
Crystalline SrHfNi2Ru at its relaxed geometry, computed with PBE-GGA.

Lattice parameters (Å, degrees): 4.4033 4.4033 5.3321 90.00 90.00 90.00
With the nearest neighbours (Å) after each atom.
Atoms (fractional coordinates):
Sr 0.0000 0.0000 0.0000  4 Ni 2.20
Hf 0.0000 0.0000 0.5000  2 Sr 2.67
Ni 0.0000 0.5000 0.0000  2 Sr 2.20
Ni 0.5000 0.0000 0.0000  2 Sr 2.20
Ru 0.5000 0.5000 0.5000  4 Hf 3.11, 8 Ni 3.46

Volume in Å³ per cell: 103.4
VASP energy in eV/atom: -4.38
DOS(E_F) in states/eV/cell: 4.54
Magnetic moment in μB per atom: 0.00

***

(2)
Crystalline NaTbPmIn at its relaxed geometry, computed with PBE-GGA.

Lattice parameters (Å, degrees): 5.4655 5.4655 5.4655 60.00 60.00 60.00
With the nearest neighbours (Å) after each atom.
Atoms (fractional coordinates):
Na 0.0000 0.0000 0.0000  4 Tb 3.35, 4 Pm 3.35
Tb 0.7500 0.7500 0.7500  4 In 3.35, 4 Na 3.35
Pm 0.2500 0.2500 0.2500  4 In 3.35, 4 Na 3.35
In 0.5000 0.5000 0.5000  4 Tb 3.35, 4 Pm 3.35

Volume in Å³ per cell: 115.4
VASP energy in eV/atom: -3.50
DOS(E_F) in states/eV/cell: 4.88
Magnetic moment in μB per atom: 0.00

***

(3)
Crystalline RbZn2PS at its relaxed geometry, computed with PBE-GGA.

Lattice parameters (Å, degrees): 7.2993 7.2993 6.5379 90.00 90.00 90.00
With the nearest neighbours (Å) after each atom.
Atoms (fractional coordinates):
Rb 0.0000 0.0000 0.0000  2 P 3.27, 4 Zn 3.65
Zn 0.0000 0.5000 0.0000  2 Rb 3.65
Zn 0.5000 0.0000 0.0000  2 Rb 3.65
P 0.0000 0.0000 0.5000  2 Rb 3.27
S 0.5000 0.5000 0.5000  8 Zn 4.90, 4 P 5.16

Volume in Å³ per cell: 348.3
VASP energy in eV/atom: -1.29
DOS(E_F) in states/eV/cell: 10.65
Magnetic moment in μB per atom: 0.80

***

(4)
Crystalline MgSBr2 at its relaxed geometry, computed with PBE-GGA.

Lattice parameters (Å, degrees): 5.0804 5.0804 5.0804 60.00 60.00 60.00
With the nearest neighbours (Å) after each atom.
Atoms (fractional coordinates):
Mg 0.0000 0.0000 0.0000  8 Br 3.11
S 0.5000 0.5000 0.5000  8 Br 3.11
Br 0.2500 0.2500 0.2500  4 S 3.11, 4 Mg 3.11
Br 0.7500 0.7500 0.7500  4 S 3.11, 4 Mg 3.11

Volume in Å³ per cell: 92.7
VASP energy in eV/atom: -2.27
DOS(E_F) in states/eV/cell: 2.86
Magnetic moment in μB per atom: 0.50

***

(5)
Crystalline Er3CdGa2 at its relaxed geometry, computed with PBE-GGA.

Lattice parameters (Å, degrees): 3.4774 3.4774 11.5105 90.00 90.00 90.00
With the nearest neighbours (Å) after each atom.
Atoms (fractional coordinates):
Er 0.0000 0.0000 0.0000  8 Ga 3.09
Er 0.0000 0.0000 0.3180  4 Ga 3.04, 4 Cd 3.23
Er 0.0000 0.0000 0.6820  4 Ga 3.04, 4 Cd 3.23
Cd 0.5000 0.5000 0.5000  8 Er 3.23, 4 Cd 3.48
Ga 0.5000 0.5000 0.1624  8 Er 3.04-3.09
Ga 0.5000 0.5000 0.8376  8 Er 3.04-3.09

Volume in Å³ per cell: 139.2
VASP energy in eV/atom: -3.93
DOS(E_F) in states/eV/cell: 3.09
Magnetic moment in μB per atom: 0.00

***

(6)
Crystalline NiGe4Ru2 at its relaxed geometry, computed with PBE-GGA.

Lattice parameters (Å, degrees): 6.8962 6.8962 6.8962 141.92 141.92 54.95
With the nearest neighbours (Å) after each atom.
Atoms (fractional coordinates):
Ni 0.0000 0.0000 0.0000  6 Ge 2.25-2.38
Ge 0.0000 0.5000 0.5000  2 Ni 2.25
Ge 0.1943 0.1943 0.0000  1 Ni 2.38, 1 Ru 2.40
Ge 0.5000 0.0000 0.5000  2 Ni 2.25
Ge 0.8057 0.8057 0.0000  1 Ni 2.38, 1 Ru 2.40
Ru 0.3902 0.3902 0.0000  5 Ge 2.40-2.62
Ru 0.6098 0.6098 0.0000  5 Ge 2.40-2.62

Volume in Å³ per cell: 123.9
VASP energy in eV/atom: -5.75
DOS(E_F) in states/eV/cell: 5.37
Magnetic moment in μB per atom: 0.00

***

(7)
Crystalline CrTcAg2 at its relaxed geometry, computed with PBE-GGA.

Lattice parameters (Å, degrees): 5.1205 5.1205 4.6643 100.08 100.08 32.31
With the nearest neighbours (Å) after each atom.
Atoms (fractional coordinates):
Cr 0.0000 0.0000 0.0000  4 Tc 2.73, 2 Cr 2.85, 6 Ag 2.90-2.91
Tc 0.5000 0.5000 0.5000  4 Cr 2.73, 2 Tc 2.85, 6 Ag 2.89-2.91
Ag 0.2490 0.2490 0.7493  6 Ag 2.73-2.85, 3 Tc 2.89-2.91, 3 Cr 2.90-2.91
Ag 0.7510 0.7510 0.2507  6 Ag 2.73-2.85, 3 Tc 2.89-2.91, 3 Cr 2.90-2.91

Volume in Å³ per cell: 64.3
VASP energy in eV/atom: -5.88
DOS(E_F) in states/eV/cell: 3.38
Magnetic moment in μB per atom: 0.53

***

(8)
Crystalline RbLiPt2 at its relaxed geometry, computed with PBE-GGA.

Lattice parameters (Å, degrees): 4.8771 4.8771 4.8771 60.00 60.00 60.00
With the nearest neighbours (Å) after each atom.
Atoms (fractional coordinates):
Rb 0.0000 0.0000 0.0000  8 Pt 2.99
Li 0.5000 0.5000 0.5000  8 Pt 2.99
Pt 0.2500 0.2500 0.2500  4 Li 2.99, 4 Rb 2.99
Pt 0.7500 0.7500 0.7500  4 Li 2.99, 4 Rb 2.99

Volume in Å³ per cell: 82.0
VASP energy in eV/atom: -3.22
DOS(E_F) in states/eV/cell: 1.23
Magnetic moment in μB per atom: 0.00

***

(9)
Crystalline PmAl5Rh2 at its relaxed geometry, computed with PBE-GGA.

Lattice parameters (Å, degrees): 6.4413 6.4413 6.4413 143.41 111.41 80.33
With the nearest neighbours (Å) after each atom.
Atoms (fractional coordinates):
Pm 0.0000 0.0000 0.0000  4 Rh 3.25, 10 Al 3.39-3.63
Al 0.1553 0.3453 0.8100  3 Rh 2.47-2.59, 1 Al 2.76
Al 0.4647 0.6547 0.8100  3 Rh 2.47-2.59, 1 Al 2.76
Al 0.5000 0.0000 0.5000  2 Rh 2.38
Al 0.5353 0.3453 0.1900  3 Rh 2.47-2.59, 1 Al 2.76
Al 0.8447 0.6547 0.1900  3 Rh 2.47-2.59, 1 Al 2.76
Rh 0.2584 0.7584 0.5000  7 Al 2.38-2.59
Rh 0.7416 0.2416 0.5000  7 Al 2.38-2.59

Volume in Å³ per cell: 144.5
VASP energy in eV/atom: -5.52
DOS(E_F) in states/eV/cell: 4.82
Magnetic moment in μB per atom: 0.00

***

(10)
Crystalline Ca3AgSn4 at its relaxed geometry, computed with PBE-GGA.

Lattice parameters (Å, degrees): 10.2461 10.2461 10.2461 159.86 142.34 43.07
With the nearest neighbours (Å) after each atom.
Atoms (fractional coordinates):
Ca 0.0000 0.0000 0.0000  8 Sn 3.30, 2 Ca 3.58
Ca 0.2714 0.7714 0.5000  6 Sn 3.24-3.27, 2 Ca 3.58
Ca 0.7286 0.2286 0.5000  6 Sn 3.24-3.27, 2 Ca 3.58
Ag 0.5000 0.5000 0.0000  4 Sn 2.89
Sn 0.1154 0.3795 0.7359  1 Ag 2.89, 1 Sn 3.12
Sn 0.3564 0.6205 0.7359  1 Ag 2.89, 1 Sn 3.12
Sn 0.6436 0.3795 0.2641  1 Ag 2.89, 1 Sn 3.12
Sn 0.8846 0.6205 0.2641  1 Ag 2.89, 1 Sn 3.12

Volume in Å³ per cell: 225.9
VASP energy in eV/atom: -3.50
DOS(E_F) in states/eV/cell: 2.65
Magnetic moment in μB per atom: 0.00

***

(11)
Crystalline Nd2SnP2N6 at its relaxed geometry, computed with PBE-GGA.

Lattice parameters (Å, degrees): 5.7972 6.0502 6.5067 114.26 100.75 107.54
With the nearest neighbours (Å) after each atom.
Atoms (fractional coordinates):
Nd 0.2193 0.1085 0.3208  5 N 2.44-2.56
Nd 0.7807 0.8915 0.6792  5 N 2.44-2.56
Sn 0.5000 0.5000 0.0000  4 N 2.49-2.51
P 0.0463 0.5098 0.2630  3 N 1.58-1.60
P 0.9537 0.4902 0.7370  3 N 1.58-1.60
N 0.0723 0.2769 0.6704  1 P 1.59
N 0.1250 0.8020 0.8982  1 P 1.58
N 0.3536 0.6093 0.3542  1 P 1.60
N 0.6464 0.3907 0.6458  1 P 1.60
N 0.8750 0.1980 0.1018  1 P 1.58
N 0.9277 0.7231 0.3296  1 P 1.59

Volume in Å³ per cell: 185.3
VASP energy in eV/atom: -7.33
Magnetic moment in μB per atom: 0.00

***

(12)
Crystalline Ga8CuMo2 at its relaxed geometry, computed with PBE-GGA.

Lattice parameters (Å, degrees): 6.8175 6.8175 5.0560 101.63 101.63 58.71
With the nearest neighbours (Å) after each atom.
Atoms (fractional coordinates):
Ga 0.1457 0.7614 0.7230  1 Cu 2.47, 4 Ga 2.57-2.76, 1 Mo 2.59
Ga 0.1624 0.1624 0.8730  1 Mo 2.62, 3 Ga 2.74-2.78
Ga 0.2386 0.8543 0.2770  1 Cu 2.47, 4 Ga 2.57-2.76, 1 Mo 2.59
Ga 0.2832 0.2832 0.4136  1 Cu 2.51, 1 Mo 2.76, 1 Ga 2.78
Ga 0.7168 0.7168 0.5864  1 Cu 2.51, 1 Mo 2.76, 1 Ga 2.78
Ga 0.7614 0.1457 0.7230  1 Cu 2.47, 4 Ga 2.57-2.76, 1 Mo 2.59
Ga 0.8376 0.8376 0.1270  1 Mo 2.62, 3 Ga 2.74-2.78
Ga 0.8543 0.2386 0.2770  1 Cu 2.47, 4 Ga 2.57-2.76, 1 Mo 2.59
Cu 0.5000 0.5000 0.5000  6 Ga 2.47-2.51, 2 Mo 2.74
Mo 0.3883 0.3883 0.9612  1 Mo 2.59, 5 Ga 2.59-2.85, 1 Cu 2.74
Mo 0.6117 0.6117 0.0388  1 Mo 2.59, 5 Ga 2.59-2.85, 1 Cu 2.74

Volume in Å³ per cell: 195.4
VASP energy in eV/atom: -4.39
DOS(E_F) in states/eV/cell: 5.59
Magnetic moment in μB per atom: 0.00

***

(13)
Crystalline CsSr3Ti at its relaxed geometry, computed with PBE-GGA.

Lattice parameters (Å, degrees): 6.6182 6.6182 6.6182 90.00 90.00 90.00
With the nearest neighbours (Å) after each atom.
Atoms (fractional coordinates):
Cs 0.0000 0.0000 0.0000  12 Sr 4.68
Sr 0.0000 0.5000 0.5000  2 Ti 3.31
Sr 0.5000 0.0000 0.5000  2 Ti 3.31
Sr 0.5000 0.5000 0.0000  2 Ti 3.31
Ti 0.5000 0.5000 0.5000  6 Sr 3.31

Volume in Å³ per cell: 289.9
VASP energy in eV/atom: -2.19
DOS(E_F) in states/eV/cell: 13.92
Magnetic moment in μB per atom: 0.70

***

(14)
Crystalline Ho2PbSe at its relaxed geometry, computed with PBE-GGA.

Lattice parameters (Å, degrees): 7.4754 7.4754 7.4754 32.79 32.79 32.79
With the nearest neighbours (Å) after each atom.
Atoms (fractional coordinates):
Ho 0.2457 0.2457 0.2457  3 Se 2.96, 3 Pb 3.06
Ho 0.7543 0.7543 0.7543  3 Se 2.96, 3 Pb 3.06
Pb 0.0000 0.0000 0.0000  6 Ho 3.06
Se 0.5000 0.5000 0.5000  6 Ho 2.96

Volume in Å³ per cell: 109.0
VASP energy in eV/atom: -5.16
DOS(E_F) in states/eV/cell: 1.90
Magnetic moment in μB per atom: 0.00